[1]
# Er2TlCu3S5

Er2TlCu3S5 after structural relaxation (PBE, OQMD via LeMat-Bulk).

```
Er2TlCu3S5
1.0
1.958 -6.892 0.000
1.958 6.892 0.000
0.000 0.000 16.328
Er Tl Cu S
4 2 6 10
Direct
0.191 0.809 0.593
0.191 0.809 0.907
0.809 0.191 0.093
0.809 0.191 0.407
0.070 0.930 0.250
0.930 0.070 0.750
0.352 0.648 0.250
0.417 0.583 0.540
0.417 0.583 0.960
0.583 0.417 0.040
0.583 0.417 0.460
0.648 0.352 0.750
0.168 0.832 0.071
0.168 0.832 0.429
0.241 0.759 0.750
0.439 0.561 0.115
0.439 0.561 0.385
0.561 0.439 0.615
0.561 0.439 0.885
0.759 0.241 0.250
0.832 0.168 0.571
0.832 0.168 0.929
```

Values from the calculation:
The total energy is -110.8 eV for the cell shown.

=====

[2]
# GdHfAl

GdHfAl after structural relaxation (PBE, OQMD via LeMat-Bulk).

```
GdHfAl
1.0
0.000 3.467 3.467
3.467 0.000 3.467
3.467 3.467 0.000
Gd Hf Al
1 1 1
Direct
0.000 0.000 0.000
0.750 0.750 0.750
0.500 0.500 0.500
```

Values from the calculation:
The total energy is -16.3 eV for the cell shown.

=====

[3]
# TbRe2

TbRe2 after structural relaxation (PBE, OQMD via LeMat-Bulk).

```
TbRe2
1.0
0.000 6.329 6.329
6.329 0.000 6.329
6.329 6.329 0.000
Tb Re
2 4
Direct
0.125 0.125 0.125
0.875 0.875 0.875
0.000 0.000 0.000
0.000 0.000 0.500
0.000 0.500 0.000
0.500 0.000 0.000
```

Values from the calculation:
The formation energy comes out at 99.2 kcal/mol of atoms. The total energy is -33.1 eV for the cell shown.

=====

[4]
# SrHfAu

SrHfAu after structural relaxation (PBE, OQMD via LeMat-Bulk).

```
SrHfAu
1.0
0.000 3.476 3.476
3.476 0.000 3.476
3.476 3.476 0.000
Sr Hf Au
1 1 1
Direct
0.000 0.000 0.000
0.250 0.250 0.250
0.750 0.750 0.750
```

Values from the calculation:
Its energy above the most stable polymorph in this dataset is 80.0 kJ/mol of atoms. The total energy is -11.7 eV for the cell shown.

=====

[5]
# PrInAs

PrInAs after structural relaxation (PBE, OQMD via LeMat-Bulk).

```
PrInAs
1.0
0.000 3.594 3.594
3.594 0.000 3.594
3.594 3.594 0.000
Pr In As
1 1 1
Direct
0.000 0.000 0.000
0.250 0.250 0.250
0.750 0.750 0.750
```

Values from the calculation:
The total energy is -13.0 eV for the cell shown.

=====

[6]
# UAlFe

UAlFe after structural relaxation (PBE, OQMD via LeMat-Bulk).

```
UAlFe
1.0
0.000 3.013 3.013
3.013 0.000 3.013
3.013 3.013 0.000
U Al Fe
1 1 1
Direct
0.000 0.000 0.000
0.500 0.500 0.500
0.250 0.250 0.250
```

Values from the calculation:
The total energy is -23.0 eV for the cell shown.